Pa2Ga9Au, relaxed, DFT PBE; total DFT energy (no corrections) = -0.16033 Ha/atom; V = 19.16 A^3/atom; space group = P4/mmm (123)
1.0
-0.448 -3.664 -2.296
2.391 -2.133 2.937
-10.084 -2.687 6.259
Pa Ga Au
2 9 1
direct
0.000 0.000 0.672
0.000 0.000 0.328
0.500 0.500 0.000
0.500 0.500 0.337
0.000 0.500 0.850
0.500 0.000 0.500
0.500 0.000 0.850
0.000 0.500 0.150
0.500 0.000 0.150
0.000 0.500 0.500
0.500 0.500 0.663
0.000 0.000 0.000

***

PaGa2Au2, relaxed, DFT PBE; total DFT energy (no corrections) = -0.17550 Ha/atom; V = 19.97 A^3/atom; space group = P2_1/m (11)
1.0
-1.204 3.848 -1.755
-1.489 -2.088 -3.556
-9.335 -0.916 4.396
Pa Au Ga
2 4 4
direct
0.250 0.759 0.253
0.750 0.241 0.747
0.750 0.776 0.505
0.250 0.224 0.495
0.750 0.188 0.132
0.250 0.812 0.868
0.750 0.703 0.997
0.250 0.297 0.003
0.750 0.287 0.366
0.250 0.713 0.634

***

Pa2Ga5Au3, relaxed, DFT PBE; total DFT energy (no corrections) = -0.17454 Ha/atom; polymorph energy (0 for the lowest one) = 0.00 eV/f.u.; V = 19.62 A^3/atom; space group = Cmc2_1 (36)
1.0
-2.796 1.997 3.019
1.811 -4.610 4.727
10.745 6.478 2.202
Au Ga Pa
6 10 4
direct
0.393 0.024 0.785
0.055 0.945 0.110
0.780 0.726 0.560
0.607 0.524 0.215
0.945 0.445 0.890
0.220 0.226 0.440
0.709 0.021 0.418
0.049 0.549 0.099
0.393 0.429 0.787
0.951 0.049 0.901
0.291 0.521 0.582
0.291 0.936 0.583
0.709 0.436 0.417
0.117 0.255 0.235
0.607 0.929 0.213
0.883 0.755 0.765
0.513 0.246 0.026
0.172 0.734 0.345
0.828 0.234 0.655
0.487 0.746 0.974

***

Pa3Ga2Au, relaxed, DFT PBE; total DFT energy (no corrections) = -0.23746 Ha/atom; V = 22.27 A^3/atom; space group = Pnnm (58)
1.0
-2.599 0.346 -4.458
0.923 -8.417 -1.190
-5.183 -0.985 2.945
Ga Pa Au
4 6 2
direct
0.000 0.330 0.273
0.500 0.830 0.227
0.000 0.670 0.727
0.500 0.170 0.773
0.000 0.676 0.234
0.500 0.176 0.266
0.500 0.500 0.500
0.500 0.824 0.734
0.000 0.000 0.000
0.000 0.324 0.766
0.500 0.500 0.000
0.000 0.000 0.500

***

Pa2GaAu, relaxed, DFT PBE; total DFT energy (no corrections) = -0.24243 Ha/atom; polymorph energy (0 for the lowest one) = 0.04 eV/f.u.; V = 21.66 A^3/atom; space group = P4/mmm (123)
1.0
4.506 0.000 0.000
0.000 4.385 0.000
0.000 0.000 4.385
Pa Au Ga
2 1 1
direct
0.000 0.500 0.000
0.000 0.000 0.500
0.500 0.000 0.000
0.500 0.500 0.500

***

Pa4Ga12Au, relaxed, DFT PBE; total DFT energy (no corrections) = -0.18135 Ha/atom; V = 19.38 A^3/atom; space group = Im-3m (229)
1.0
7.536 0.000 0.000
-2.512 7.105 0.000
-2.512 -3.552 6.153
Ga Pa Au
12 4 1
direct
0.750 0.250 0.500
0.750 0.500 0.250
0.000 0.304 0.304
0.696 0.696 0.000
0.304 0.304 0.000
0.250 0.500 0.750
0.696 0.000 0.696
0.500 0.250 0.750
0.250 0.750 0.500
0.000 0.696 0.696
0.500 0.750 0.250
0.304 0.000 0.304
0.500 0.500 0.500
0.000 0.500 0.000
0.500 0.000 0.000
0.000 0.000 0.500
0.000 0.000 0.000

***

Pa3Ga6Au2, relaxed, DFT PBE; total DFT energy (no corrections) = -0.18315 Ha/atom; V = 22.10 A^3/atom; space group = I4/mmm (139)
1.0
4.104 0.000 0.000
0.000 4.104 0.000
-2.052 -2.052 14.435
Pa Au Ga
3 2 6
direct
0.000 0.000 0.000
0.168 0.168 0.336
0.832 0.832 0.664
0.642 0.642 0.283
0.358 0.358 0.717
0.922 0.422 0.845
0.732 0.732 0.464
0.422 0.922 0.845
0.078 0.578 0.155
0.268 0.268 0.536
0.578 0.078 0.155

***

Pa3Ga2Au6, relaxed, DFT PBE; total DFT energy (no corrections) = -0.18664 Ha/atom; V = 22.17 A^3/atom; space group = I4/mmm (139)
1.0
-0.823 0.328 3.924
-3.936 -0.172 -0.811
2.759 -15.087 -0.222
Au Pa Ga
6 3 2
direct
0.724 0.724 0.449
0.074 0.574 0.149
0.574 0.074 0.149
0.926 0.426 0.851
0.426 0.926 0.851
0.276 0.276 0.551
0.824 0.824 0.648
0.176 0.176 0.352
0.000 0.000 0.000
0.367 0.367 0.733
0.633 0.633 0.267

***

Pa2GaAu3, relaxed, DFT PBE; total DFT energy (no corrections) = -0.20492 Ha/atom; polymorph energy (0 for the lowest one) = 1.20 eV/f.u.; V = 22.38 A^3/atom; space group = Imm2 (44)
1.0
3.260 0.000 -0.868
-0.330 4.363 -1.240
0.694 0.287 9.165
Ga Pa Au
1 2 3
direct
0.463 0.963 0.927
0.880 0.380 0.761
0.119 0.119 0.237
0.313 0.813 0.627
0.691 0.691 0.382
0.533 0.533 0.067

***

Pa2Ga4Au5, relaxed, DFT PBE; total DFT energy (no corrections) = -0.16587 Ha/atom; V = 19.78 A^3/atom; space group = Immm (71)
1.0
-5.458 2.273 1.063
-3.855 1.204 -5.392
-4.877 -4.430 1.407
Au Ga Pa
5 4 2
direct
0.237 0.836 0.164
0.763 0.164 0.836
0.000 0.500 0.500
0.237 0.164 0.836
0.763 0.836 0.164
0.754 0.575 0.916
0.754 0.916 0.575
0.246 0.084 0.425
0.246 0.425 0.084
0.663 0.337 0.337
0.337 0.663 0.663

***

Pa2GaAu, relaxed, DFT PBE; total DFT energy (no corrections) = -0.22778 Ha/atom; polymorph energy (0 for the lowest one) = 1.63 eV/f.u.; V = 22.88 A^3/atom; space group = R-3m (166)
1.0
3.072 0.000 0.000
1.536 2.660 0.000
1.536 0.887 11.201
Pa Au Ga
2 1 1
direct
0.091 0.091 0.728
0.909 0.909 0.272
0.000 0.000 0.000
0.500 0.500 0.500

***

Pa3Ga7Au2, relaxed, DFT PBE; total DFT energy (no corrections) = -0.18454 Ha/atom; V = 20.25 A^3/atom; space group = Cmmm (65)
1.0
4.253 0.000 0.000
0.000 4.282 -0.002
0.000 -2.135 13.348
Pa Ga Au
3 7 2
direct
0.000 0.186 0.372
0.500 0.500 0.000
0.000 0.814 0.628
0.500 0.080 0.160
0.000 0.580 0.161
0.500 0.272 0.545
0.500 0.728 0.455
0.000 0.000 0.000
0.000 0.420 0.839
0.500 0.920 0.840
0.500 0.634 0.269
0.500 0.366 0.731

***

Pa2Ga4Au3, relaxed, DFT PBE; total DFT energy (no corrections) = -0.17969 Ha/atom; V = 19.68 A^3/atom; space group = Cmce (64)
1.0
-4.061 -0.134 -4.425
-5.622 -1.454 5.205
0.879 7.495 3.044
Pa Ga Au
4 8 6
direct
0.895 0.411 0.790
0.105 0.589 0.210
0.395 0.089 0.790
0.605 0.911 0.210
0.824 0.025 0.648
0.693 0.750 0.886
0.676 0.525 0.352
0.307 0.250 0.114
0.807 0.250 0.114
0.193 0.750 0.886
0.324 0.475 0.648
0.176 0.975 0.352
0.500 0.500 0.000
0.000 0.000 0.000
0.020 0.750 0.540
0.980 0.250 0.460
0.480 0.250 0.460
0.520 0.750 0.540

***

Pa2Ga3Au2, relaxed, DFT PBE; total DFT energy (no corrections) = -0.19520 Ha/atom; polymorph energy (0 for the lowest one) = 0.00 eV/f.u.; V = 20.48 A^3/atom; space group = C2/m (12)
1.0
-3.356 -2.898 -0.463
4.894 -1.959 -1.747
-0.110 -0.922 6.568
Au Ga Pa
2 3 2
direct
0.839 0.678 0.754
0.161 0.322 0.246
0.403 0.805 0.574
0.500 0.000 0.000
0.597 0.195 0.426
0.854 0.707 0.226
0.146 0.293 0.774

***

Pa4Ga16Au3, relaxed, DFT PBE; total DFT energy (no corrections) = -0.16542 Ha/atom; V = 19.45 A^3/atom; space group = P4/mmm (123)
1.0
6.300 0.000 0.000
0.000 6.300 0.000
0.000 0.000 11.271
Ga Au Pa
16 3 4
direct
0.291 0.291 0.000
0.500 0.500 0.197
0.258 0.258 0.369
0.291 0.709 0.000
0.258 0.742 0.631
0.258 0.258 0.631
0.742 0.258 0.369
0.000 0.000 0.766
0.709 0.291 0.000
0.742 0.742 0.369
0.000 0.000 0.234
0.742 0.258 0.631
0.709 0.709 0.000
0.258 0.742 0.369
0.500 0.500 0.803
0.742 0.742 0.631
0.500 0.000 0.500
0.000 0.500 0.500
0.000 0.000 0.000
0.000 0.500 0.814
0.000 0.500 0.186
0.500 0.000 0.814
0.500 0.000 0.186

***

Pa2Ga7Au12, relaxed, DFT PBE; total DFT energy (no corrections) = -0.14751 Ha/atom; V = 19.29 A^3/atom; space group = P-3 (147)
1.0
4.256 0.000 0.000
0.000 9.080 -5.242
0.000 0.000 10.484
Ga Au Pa
7 12 2
direct
0.285 0.703 0.604
0.715 0.297 0.396
0.715 0.604 0.900
0.285 0.396 0.100
0.285 0.900 0.297
0.715 0.100 0.703
0.500 0.000 0.000
0.229 0.457 0.371
0.783 0.867 0.739
0.771 0.543 0.629
0.783 0.872 0.133
0.217 0.128 0.867
0.771 0.086 0.457
0.217 0.739 0.872
0.771 0.371 0.914
0.783 0.261 0.128
0.229 0.629 0.086
0.217 0.133 0.261
0.229 0.914 0.543
0.755 0.667 0.333
0.245 0.333 0.667

***

Pa2Ga2Au3, relaxed, DFT PBE; total DFT energy (no corrections) = -0.19438 Ha/atom; polymorph energy (0 for the lowest one) = 0.00 eV/f.u.; V = 21.21 A^3/atom; space group = Cmcm (63)
1.0
4.172 0.000 -0.995
0.000 7.083 0.000
0.181 0.000 10.007
Au Pa Ga
6 4 4
direct
0.566 0.444 0.131
0.434 0.944 0.869
0.434 0.556 0.869
0.566 0.056 0.131
0.778 0.250 0.556
0.222 0.750 0.444
0.155 0.250 0.311
0.954 0.250 0.907
0.046 0.750 0.093
0.845 0.750 0.689
0.690 0.555 0.380
0.310 0.055 0.620
0.690 0.945 0.380
0.310 0.445 0.620

***

Pa3Ga4Au, relaxed, DFT PBE; total DFT energy (no corrections) = -0.20955 Ha/atom; V = 21.13 A^3/atom; space group = Immm (71)
1.0
-2.899 -0.969 -0.376
0.700 0.096 -5.652
4.129 -8.710 3.234
Au Pa Ga
1 3 4
direct
0.500 0.000 0.000
0.242 0.241 0.483
0.758 0.759 0.517
0.000 0.500 0.000
0.382 0.637 0.763
0.618 0.363 0.237
0.618 0.874 0.237
0.382 0.126 0.763

***

PaGa3Au3, relaxed, DFT PBE; total DFT energy (no corrections) = -0.14293 Ha/atom; polymorph energy (0 for the lowest one) = 2.71 eV/f.u.; V = 24.19 A^3/atom; space group = Pm-3n (223)
1.0
-2.954 -2.675 -5.719
5.522 -4.156 -0.907
-3.062 -4.915 3.881
Au Pa Ga
6 2 6
direct
0.000 0.750 0.500
0.250 0.500 0.000
0.500 0.000 0.750
0.500 0.000 0.250
0.750 0.500 0.000
0.000 0.250 0.500
0.000 0.000 0.000
0.500 0.500 0.500
0.500 0.750 0.000
0.500 0.250 0.000
0.000 0.500 0.250
0.250 0.000 0.500
0.750 0.000 0.500
0.000 0.500 0.750

***

PaGaAu6, relaxed, DFT PBE; total DFT energy (no corrections) = -0.14907 Ha/atom; V = 24.38 A^3/atom; space group = R-3m (166)
1.0
5.371 0.000 1.200
2.551 4.726 1.200
1.033 0.616 7.998
Pa Au Ga
1 6 1
direct
0.500 0.500 0.500
0.433 0.929 0.710
0.071 0.567 0.290
0.929 0.433 0.710
0.929 0.929 0.710
0.567 0.071 0.290
0.071 0.071 0.290
0.000 0.000 0.000